Record 1
Compound: Mg3CoMo
Source: Alexandria
Functional: PBE
Structure: relaxed

abc: 4.691 4.691 4.691
angles: 90.00 90.00 90.00
Fractional positions:
Mg  0.500  0.000  0.000
Mg  0.000  0.500  0.000
Mo  0.500  0.500  0.500
Mg  0.000  0.000  0.500
Co  0.000  0.000  0.000

Output
The calculation puts the energy of formation from the pure elements at 0.894 eV per atom. As for the space-group type: No. 221. The uncorrected energy is -3.650 eV per atom. For the total magnetic moment, the calculation gives 3.82 μB/cell. Its mass density is 3.7 Mg/m³.

***

Record 2
Compound: Y2PtO
Source: Alexandria
Functional: PBE
Structure: relaxed

abc: 3.333 3.333 8.423
angles: 78.59 78.59 60.00
Fractional positions:
Pt  0.000  0.000  0.000
Y  0.891  0.891  0.326
O  0.500  0.500  0.500
Y  0.109  0.109  0.674

Output
As for the space-group type: No. 166. The formation energy without anion corrections is -1.2320 eV/atom. The uncorrected energy is -7.214 eV per atom. For the total magnetic moment, the calculation gives 0.00 μB/cell. Its mass density is 8.2 Mg/m³.

***

Record 3
Compound: Nb3Re2Mo2
Source: Alexandria
Functional: PBE
Structure: relaxed

abc: 4.535 5.321 5.307
angles: 85.25 89.91 115.19
Fractional positions:
Mo  0.429  0.858  0.292
Re  0.143  0.286  0.430
Nb  0.287  0.574  0.852
Nb  0.000  0.000  0.000
Mo  0.571  0.142  0.708
Nb  0.713  0.426  0.148
Re  0.857  0.714  0.570

Output
The calculation puts the energy of formation from the pure elements at -0.144 eV per atom. As for the space-group type: No. 2. The uncorrected energy is -11.111 eV per atom. For the total magnetic moment, the calculation gives 0.00 μB/cell. The offset from the most stable computed form is 7.5 meV/atom. Its mass density is 12.1 Mg/m³.

***

What is the mass density in the third record? 12.1 Mg/m³